Entry 1:
## Pm4Ga12Pb (PBE)

Data for a relaxed structure of Pm4Ga12Pb.

The structure in POSCAR format:
```
Pm4Ga12Pb
1.0
-4.506 4.506 4.506
4.506 -4.506 4.506
4.506 4.506 -4.506
Pm Ga Pb
4 12 1
direct
0.000 0.000 0.500
0.000 0.500 0.000
0.500 0.000 0.000
0.500 0.500 0.500
0.000 0.326 0.326
0.000 0.674 0.674
0.250 0.500 0.750
0.250 0.750 0.500
0.326 0.000 0.326
0.326 0.326 0.000
0.500 0.250 0.750
0.500 0.750 0.250
0.674 0.000 0.674
0.674 0.674 0.000
0.750 0.250 0.500
0.750 0.500 0.250
0.000 0.000 0.000
```

Calculated values
- space group = Im-3m
- magnetic moment (Bohr magnetons per cell) = 0.00
- E_form (eV per formula unit) = -8.08

=====

Entry 2:
## Pm5GaPb4 (PBE)

Data for a relaxed structure of Pm5GaPb4.

The structure in POSCAR format:
```
Pm5GaPb4
1.0
3.554 0.000 0.000
0.000 3.554 0.000
0.000 0.000 22.668
Pm Ga Pb
5 1 4
direct
0.000 0.000 0.000
0.000 0.000 0.206
0.000 0.000 0.413
0.000 0.000 0.587
0.000 0.000 0.794
0.500 0.500 0.500
0.500 0.500 0.103
0.500 0.500 0.308
0.500 0.500 0.692
0.500 0.500 0.897
```

Calculated values
- space group = P4/mmm
- magnetic moment (Bohr magnetons per cell) = 0.01
- E_form (eV per formula unit) = -5.11

=====

Entry 3:
## Pm4Ga2Pb5 (PBE)

Data for a relaxed structure of Pm4Ga2Pb5.

The structure in POSCAR format:
```
Pm4Ga2Pb5
1.0
8.300 0.000 0.000
0.000 3.598 0.000
-0.846 0.000 10.369
Pm Ga Pb
4 2 5
direct
0.179 0.000 0.366
0.248 0.000 0.935
0.752 0.000 0.065
0.821 0.000 0.634
0.067 0.500 0.124
0.933 0.500 0.876
0.171 0.500 0.658
0.436 0.500 0.185
0.500 0.500 0.500
0.564 0.500 0.815
0.829 0.500 0.342
```

Calculated values
- space group = P2/m
- magnetic moment (Bohr magnetons per cell) = 0.00
- E_form (eV per formula unit) = -4.97

=====

Entry 4:
## Pm12Ga6Pb (PBE)

Data for a relaxed structure of Pm12Ga6Pb.

The structure in POSCAR format:
```
Pm12Ga6Pb
1.0
-5.192 5.192 5.192
5.192 -5.192 5.192
5.192 5.192 -5.192
Pm Ga Pb
12 6 1
direct
0.107 0.811 0.296
0.189 0.296 0.485
0.189 0.704 0.893
0.296 0.107 0.811
0.296 0.485 0.189
0.485 0.189 0.296
0.515 0.811 0.704
0.704 0.515 0.811
0.704 0.893 0.189
0.811 0.296 0.107
0.811 0.704 0.515
0.893 0.189 0.704
0.121 0.621 0.500
0.379 0.500 0.879
0.500 0.121 0.621
0.500 0.879 0.379
0.621 0.500 0.121
0.879 0.379 0.500
0.000 0.000 0.000
```

Calculated values
- space group = Im-3
- magnetic moment (Bohr magnetons per cell) = 0.00
- E_form (eV per formula unit) = -7.47

=====

Entry 5:
## PmGa4Pb (PBE)

Data for a relaxed structure of PmGa4Pb.

The structure in POSCAR format:
```
PmGa4Pb
1.0
0.000 4.022 4.022
4.022 0.000 4.022
4.022 4.022 0.000
Pm Ga Pb
1 4 1
direct
0.000 0.000 0.000
0.375 0.375 0.375
0.375 0.375 0.875
0.375 0.875 0.375
0.875 0.375 0.375
0.750 0.750 0.750
```

Calculated values
- space group = F-43m
- magnetic moment (Bohr magnetons per cell) = 0.00
- E_form (eV per formula unit) = -1.50

=====

Entry 6:
## Pm4GaPb2 (PBE)

Data for a relaxed structure of Pm4GaPb2.

The structure in POSCAR format:
```
Pm4GaPb2
1.0
-2.686 2.686 8.375
2.686 -2.686 8.375
2.686 2.686 -8.375
Pm Ga Pb
4 1 2
direct
0.000 0.500 0.500
0.177 0.177 0.000
0.500 0.000 0.500
0.823 0.823 0.000
0.000 0.000 0.000
0.368 0.368 0.000
0.632 0.632 0.000
```

Calculated values
- space group = I4/mmm
- magnetic moment (Bohr magnetons per cell) = 0.00
- E_form (eV per formula unit) = -1.77

=====

Entry 7:
## PmGaPb2 (PBE)

Data for a relaxed structure of PmGaPb2.

The structure in POSCAR format:
```
PmGaPb2
1.0
4.699 0.000 0.000
0.000 4.699 0.000
0.000 0.000 4.870
Pm Ga Pb
1 1 2
direct
0.000 0.000 0.000
0.500 0.500 0.000
0.000 0.500 0.500
0.500 0.000 0.500
```

Calculated values
- energy above the lowest structure with this stoichiometry (meV/atom) = 0
- space group = P4/mmm
- magnetic moment (Bohr magnetons per cell) = 0.00
- E_form (eV per formula unit) = -1.50

=====

Entry 8:
## Pm2Ga3Pt4Pb (PBE)

Data for a relaxed structure of Pm2Ga3Pt4Pb.

The structure in POSCAR format:
```
Pm2Ga3Pt4Pb
1.0
4.198 0.000 0.000
0.000 4.198 0.000
0.000 0.000 11.518
Pm Ga Pt Pb
2 3 4 1
direct
0.000 0.500 0.241
0.500 0.000 0.759
0.000 0.500 0.874
0.500 0.000 0.126
0.500 0.500 0.500
0.000 0.000 0.000
0.000 0.500 0.661
0.500 0.000 0.339
0.500 0.500 0.000
0.000 0.000 0.500
```

Calculated values
- space group = P-4m2
- magnetic moment (Bohr magnetons per cell) = 0.00
- E_form (eV per formula unit) = -8.38